(1)
! Cd2NiSb, relaxed, DFT PBE-GGA; values from VASP
&SYSTEM
  ibrav = 0, nat = 4, ntyp = 3
/
ATOMIC_SPECIES
Sb 121.76 Sb.upf
Ni 58.69 Ni.upf
Cd 112.41 Cd.upf
ATOMIC_POSITIONS angstrom
Sb -0.896 -3.769 -0.413
Ni -3.054 0.999 -2.202
Cd -1.092 -1.379 -2.357
Cd 0.000 0.000 0.000
CELL_PARAMETERS angstrom
-3.251 3.388 -4.147
1.066 -6.147 -0.568
-2.857 -1.391 -0.258
! E_form (uncorrected) = 209 meV per atom
! calculated volume = 20.70 Å³ per atom

(2)
! CdNi4Sb12, relaxed, DFT PBE-GGA; values from VASP
&SYSTEM
  ibrav = 0, nat = 17, ntyp = 3
/
ATOMIC_SPECIES
Sb 121.76 Sb.upf
Ni 58.69 Ni.upf
Cd 112.41 Cd.upf
ATOMIC_POSITIONS angstrom
Sb 4.557 -2.472 2.649
Ni 3.795 1.313 0.210
Ni -0.201 -3.120 -2.529
Ni -1.223 -1.155 3.653
Sb 1.278 -1.253 2.956
Sb 3.466 -4.670 -0.289
Sb 0.186 -3.451 0.018
Sb 5.589 -2.348 -1.849
Sb 5.489 0.326 1.914
Sb 3.237 -1.165 -0.331
Sb 1.507 -4.758 2.999
Cd 0.000 0.000 0.000
Sb 2.961 -1.149 5.485
Sb -0.746 -6.249 0.754
Sb 1.782 -4.774 -2.817
Ni 2.372 -2.961 1.334
Sb -0.846 -3.575 4.517
CELL_PARAMETERS angstrom
-0.402 -6.241 -5.058
7.591 2.627 0.420
-2.446 -2.309 7.306
! E_form (uncorrected) = -122 meV per atom
! calculated volume = 23.56 Å³ per atom

(3)
! CdNi9Sb3, relaxed, DFT PBE-GGA; values from VASP
&SYSTEM
  ibrav = 0, nat = 13, ntyp = 3
/
ATOMIC_SPECIES
Ni 58.69 Ni.upf
Sb 121.76 Sb.upf
Cd 112.41 Cd.upf
ATOMIC_POSITIONS angstrom
Ni 5.376 1.638 6.032
Sb 4.068 -0.018 4.466
Ni 3.621 5.035 4.534
Sb 4.068 3.821 6.683
Ni 4.907 2.898 3.848
Cd -3.228 6.775 -2.867
Ni 1.286 5.502 3.724
Ni 3.293 2.446 0.198
Ni 3.293 6.286 2.415
Ni 3.621 1.236 2.341
Ni -0.468 5.101 0.033
Ni 1.286 1.704 1.532
Sb 2.454 3.369 3.033
CELL_PARAMETERS angstrom
4.908 -0.942 1.632
-3.229 6.775 -2.867
3.229 0.905 7.301
! E_form (uncorrected) = 115 meV per atom
! calculated volume = 15.50 Å³ per atom

> Which formula does entry 3 have?

CdNi9Sb3

> The highest E_form (uncorrected) belongs to which entry?

Cd2NiSb